{"formula": "ZrSc2IrN", "functional": "PBE", "state": "optimized geometry", "lattice_angstrom": [[-1.190, -1.049, -3.964], [4.018, -1.119, -0.910], [-0.870, -4.253, 1.387]], "species": ["Ir", "Sc", "N", "Sc", "Zr"], "fractional_positions": [[0.500, 0.500, 0.500], [0.000, 0.500, 0.000], [0.000, 0.000, 0.000], [0.500, 0.000, 0.000], [0.000, 0.000, 0.500]], "dos_ef_per_ev_atom": 0.88, "magmom_total_mub_per_cell": 0.00, "raw_formation_energy_ev_per_atom": -1.063}